Er6Co2Te: optimized geometry, GGA-PBE.

Unit cell a=9.227 b=9.227 c=6.141 alpha=103.60 beta=103.60 gamma=66.48
Fractional coordinates of all 18 atoms:
1 Er 0.016 0.197 0.129
2 Er 0.048 0.570 0.302
3 Er 0.197 0.016 0.629
4 Er 0.318 0.444 0.814
5 Er 0.430 0.952 0.198
6 Er 0.444 0.318 0.314
7 Er 0.556 0.682 0.686
8 Er 0.570 0.048 0.802
9 Er 0.682 0.556 0.186
10 Er 0.803 0.984 0.371
11 Er 0.952 0.430 0.698
12 Er 0.984 0.803 0.871
13 Co 0.236 0.246 0.468
14 Co 0.246 0.236 0.968
15 Co 0.754 0.764 0.032
16 Co 0.764 0.754 0.532
17 Te 0.306 0.694 0.250
18 Te 0.694 0.306 0.750

Summary:
Calculated volume   25.561 A^3/atom
Space-group type   C2/c, No. 15
Spin magnetization   0.0 μB per cell
Formation energy without anion corrections   -3.1 eV per formula unit
Distance to the lowest polymorph of the same formula   33 meV/atom
E_tot   -5.315 eV/atom